No. 1
PaGePtAu: relaxed, PBE-GGA.

```
PaGePtAu
1.0
-4.279 -0.013 2.268
-3.252 -3.451 -0.984
-0.984 -3.410 3.294
Ge Pt Pa Au
1 1 1 1
direct
0.750 0.750 0.750
0.000 0.000 0.000
0.250 0.250 0.250
0.500 0.500 0.500
```

Computed properties:
Fermi-level density of states (states/eV/f.u.): 1.93
Total DFT energy (no corrections) (eV/atom): -6.3779

---

No. 2
Np2BiH3: relaxed, PBE-GGA.

```
Np2BiH3
1.0
-3.678 1.050 0.242
-1.820 -1.165 7.748
-0.035 5.528 5.830
H Bi Np
6 2 4
direct
0.374 0.774 0.479
0.373 0.478 0.776
0.000 0.350 0.650
0.627 0.522 0.224
0.000 0.650 0.350
0.626 0.226 0.521
0.836 0.164 0.165
0.164 0.836 0.835
0.500 0.815 0.185
0.500 0.185 0.815
0.856 0.643 0.644
0.144 0.357 0.356
```

Computed properties:
Fermi-level density of states (states/eV/f.u.): 10.72
Total DFT energy (no corrections) (eV/atom): -6.7301

---

No. 3
PrNd2Pt: relaxed, PBE-GGA.

```
PrNd2Pt
1.0
3.942 -0.163 0.000
-1.719 6.212 0.000
0.000 0.000 10.034
Nd Pt Pr
4 2 2
direct
0.138 0.276 0.063
0.138 0.276 0.437
0.862 0.724 0.563
0.862 0.724 0.937
0.730 0.461 0.250
0.270 0.539 0.750
0.577 0.154 0.750
0.423 0.846 0.250
```

Computed properties:
Fermi-level density of states (states/eV/f.u.): 5.75
Total DFT energy (no corrections) (eV/atom): -5.6776

---

No. 4
Sc2HgCl: relaxed, PBE-GGA.

```
Sc2HgCl
1.0
-1.974 -0.785 2.606
3.710 -1.637 2.317
1.865 10.853 4.682
Sc Cl Hg
4 2 2
direct
0.500 0.500 0.828
0.500 0.000 0.328
0.000 0.500 0.061
0.000 0.000 0.561
0.500 0.500 0.231
0.500 0.000 0.731
0.500 0.500 0.498
0.500 0.000 0.998
```

Computed properties:
E_form (uncorrected) (eV per formula unit): -2.67
Fermi-level density of states (states/eV/f.u.): 4.30

---

No. 5
LiY2PdC: relaxed, PBE-GGA.

```
LiY2PdC
1.0
4.898 0.000 0.000
0.000 4.898 0.000
0.000 0.000 4.007
Y C Pd Li
2 1 1 1
direct
0.500 0.000 0.000
0.000 0.500 0.000
0.000 0.000 0.000
0.500 0.500 0.500
0.000 0.000 0.500
```

Computed properties:
Fermi-level density of states (states/eV/f.u.): 2.78
Total DFT energy (no corrections) (eV/atom): -6.1642

---

No. 6
K2InOs: relaxed, PBE-GGA.

```
K2InOs
1.0
-2.238 -1.604 3.069
-1.435 -2.896 -2.560
7.273 -9.355 3.185
In K Os
2 4 2
direct
0.250 0.750 0.500
0.500 0.500 0.000
0.120 0.625 0.250
0.375 0.370 0.750
0.630 0.125 0.250
0.875 0.880 0.750
0.750 0.250 0.500
0.000 0.000 0.000
```

Computed properties:
Fermi-level density of states (states/eV/f.u.): 1.28
Total DFT energy (no corrections) (eV/atom): -2.9558

---

No. 7
Ga3P: relaxed, PBE-GGA.

```
Ga3P
1.0
4.191 0.000 0.000
0.000 4.191 0.000
0.000 0.000 4.191
Ga P
3 1
direct
0.000 0.500 0.500
0.500 0.000 0.500
0.500 0.500 0.000
0.000 0.000 0.000
```

Computed properties:
Fermi-level density of states (states/eV/f.u.): 2.92
Total DFT energy (no corrections) (eV/atom): -3.4483

---

No. 8
Er8GaPd2: relaxed, PBE-GGA.

```
Er8GaPd2
1.0
-1.954 4.981 1.101
-1.467 -3.502 6.954
7.585 1.876 -1.309
Ga Er Pd
1 8 2
direct
0.066 0.004 0.004
0.581 0.088 0.336
0.395 0.917 0.668
0.185 0.387 0.387
0.995 0.227 0.771
0.395 0.668 0.917
0.809 0.625 0.625
0.995 0.771 0.227
0.581 0.336 0.088
0.499 0.702 0.308
0.499 0.308 0.702
```

Computed properties:
Fermi-level density of states (states/eV/f.u.): 13.93
Total DFT energy (no corrections) (eV/atom): -4.8655

---

No. 9
LiSc2Bi: relaxed, PBE-GGA.

```
LiSc2Bi
1.0
7.963 0.000 0.000
0.000 7.963 0.000
3.982 3.982 3.042
Sc Li Bi
4 2 2
direct
0.375 0.386 0.750
0.614 0.125 0.250
0.136 0.625 0.250
0.875 0.864 0.750
0.250 0.750 0.500
0.500 0.500 0.000
0.750 0.250 0.500
0.000 0.000 0.000
```

Computed properties:
Fermi-level density of states (states/eV/f.u.): 4.61
Total DFT energy (no corrections) (eV/atom): -4.6180

---

No. 10
Pm6Sm12In: relaxed, PBE-GGA.

```
Pm6Sm12In
1.0
8.563 0.701 0.840
-0.605 8.571 0.840
-0.605 -0.705 8.583
Sm Pm In
12 6 1
direct
0.781 0.538 0.433
0.640 0.986 0.816
0.360 0.014 0.184
0.567 0.219 0.462
0.014 0.184 0.360
0.986 0.816 0.640
0.184 0.360 0.014
0.816 0.640 0.986
0.538 0.433 0.781
0.462 0.567 0.219
0.219 0.462 0.567
0.433 0.781 0.538
0.258 0.095 0.703
0.703 0.258 0.095
0.095 0.703 0.258
0.297 0.742 0.905
0.742 0.905 0.297
0.905 0.297 0.742
0.000 0.000 0.000
```

Computed properties:
Fermi-level density of states (states/eV/f.u.): 27.76
Total DFT energy (no corrections) (eV/atom): -4.5634